48
Lattice="7.625 0.000 0.000 0.000 14.258 0.000 -1.198 0.000 6.127" Properties=species:S:1:pos:R:3 comment="PBE+U LiVP2O8, optimized geometry" de_polymorph_ev_per_fu=0.00 energy_ev_per_atom=-7.080 dos_at_fermi_per_ev_cell=0.00 mass_density_g_cm3=2.47 pbc="T T T"
Li 0.691 3.571 1.301
Li 0.091 3.558 4.364
Li 6.335 10.700 1.763
Li 5.736 10.687 4.827
V 1.313 8.411 1.790
V 0.714 12.975 4.854
V 5.713 1.282 1.273
V 5.113 5.846 4.337
P 0.456 7.444 4.785
P 1.055 13.942 1.722
P 2.689 1.651 0.273
P 2.090 5.478 3.337
P 4.336 8.780 2.790
P 3.737 12.607 5.854
P 5.371 0.315 4.405
P 5.970 6.813 1.342
O -0.182 7.192 1.441
O -0.781 14.195 4.504
O 0.438 9.758 1.448
O -0.161 11.628 4.512
O 0.838 8.429 3.677
O 1.438 12.958 0.613
O 0.651 2.864 6.048
O 1.250 4.265 2.984
O 1.979 8.049 0.020
O 1.380 13.338 3.083
O 1.949 1.004 1.592
O 1.349 6.125 4.656
O 1.617 0.594 5.327
O 2.216 6.535 2.264
O 2.959 9.229 2.221
O 2.360 12.157 5.284
O 4.066 2.100 0.843
O 3.467 5.028 3.906
O 4.210 7.723 3.864
O 4.810 13.663 0.800
O 5.077 8.133 1.471
O 4.478 13.254 4.535
O 5.047 0.920 3.044
O 4.447 6.209 6.107
O 5.176 9.993 3.143
O 5.776 11.394 0.079
O 4.989 1.300 5.514
O 5.588 5.829 2.450
O 6.587 2.630 1.615
O 5.988 4.499 4.679
O 7.207 0.063 1.623
O 6.608 7.066 4.686